Entry 1:
Compound: Y8AlRh2
Source: Alexandria via LeMat-Bulk
Functional: PBE
Structure: relaxed

abc: 5.4304 7.9437 7.9437
angles: 113.46 97.83 97.83
Fractional positions:
Y: 0.4224 0.6758 0.9308
Y: 0.9999 0.2458 0.7605
Rh: 0.4999 0.6959 0.3101
Y: 0.4224 0.9308 0.6758
Y: 0.8086 0.6214 0.6214
Y: 0.9999 0.7605 0.2458
Rh: 0.4999 0.3101 0.6959
Y: 0.5775 0.0753 0.3303
Y: 0.1914 0.3849 0.3849
Y: 0.5775 0.3303 0.0753
Al: 0.0001 0.0031 0.0031

Results
Calculated formation energy in eV/atom: -0.33
Uncorrected energy in eV/atom: -6.709
Calculated volume in A^3/atom: 27.68
Magnetic moment in μB per formula unit: 0.00


Entry 2:
Compound: Y2Al9Rh3
Source: Alexandria via LeMat-Bulk
Functional: PBE
Structure: relaxed

abc: 7.5798 7.5798 10.4602
angles: 89.88 111.14 120.34
Fractional positions:
Y: 0.0026 0.4137 0.2502
Al: 0.1202 0.1417 0.4284
Al: 0.4630 0.8147 0.4472
Al: 0.8676 0.0159 0.0528
Al: 0.1324 0.9841 0.9472
Al: 0.1193 0.8693 0.2500
Rh: 0.5000 0.5000 0.5000
Al: 0.5370 0.1853 0.5528
Al: 0.5409 0.0805 0.2523
Al: 0.6718 0.7114 0.7523
Al: 0.8807 0.1307 0.7500
Al: 0.4591 0.9195 0.7477
Rh: 0.1572 0.8283 0.5007
Al: 0.4503 0.6422 0.9256
Y: 0.3365 0.2476 0.7502
Rh: 0.1724 0.3434 0.0007
Y: 0.6635 0.7524 0.2498
Rh: 0.8276 0.6566 0.9993
Rh: 0.5000 0.0000 0.0000
Al: 0.2133 0.6919 0.0716
Al: 0.2165 0.5246 0.5744
Al: 0.3282 0.2886 0.2477
Al: 0.5497 0.3578 0.0744
Y: 0.9974 0.5863 0.7498
Al: 0.7867 0.3081 0.9284
Al: 0.7835 0.4754 0.4256
Rh: 0.8428 0.1717 0.4993
Al: 0.8798 0.8583 0.5716

Results
Calculated formation energy in eV/atom: -0.84
Uncorrected energy in eV/atom: -5.745
Calculated volume in A^3/atom: 16.84
Magnetic moment in μB per formula unit: 0.00


Entry 3:
Compound: YAl2Rh2
Source: Alexandria via LeMat-Bulk
Functional: PBE
Structure: relaxed

abc: 4.2746 4.2746 5.8050
angles: 68.40 68.40 90.00
Fractional positions:
Al: 0.6321 0.6321 0.7357
Rh: 0.2500 0.7500 0.5000
Y: 0.0000 0.0000 0.0000
Al: 0.3679 0.3679 0.2643
Rh: 0.7500 0.2500 0.5000

Results
Calculated formation energy in eV/atom: -0.87
Uncorrected energy in eV/atom: -6.602
Calculated volume in A^3/atom: 18.11
Magnetic moment in μB per formula unit: 0.00